[1]
Here is a relaxed Mg5In4Hg2 crystal from Alexandria. Energies are from PBE-GGA.

energy above the lowest structure with this stoichiometry = 0.0000 eV/atom
crystal system = orthorhombic
E_tot = -20.7 eV/f.u.
energy relative to the elements = -0.11 eV/atom
Fermi-level density of states = 7.23 states/eV per cell

a = 3.6405 Å, b = 7.7020 Å, c = 18.2859 Å
α = 90.00°, β = 90.00°, γ = 90.00°
Atoms (fractional coordinates):
Hg (0.5000, 0.5442, 0.6993)
Hg (0.5000, 0.0442, 0.8007)
Hg (0.5000, 0.4558, 0.3007)
Hg (0.5000, 0.9558, 0.1993)
Mg (0.0000, 0.0000, 0.5000)
Mg (0.0000, 0.2431, 0.7063)
Mg (0.0000, 0.8714, 0.0782)
Mg (0.0000, 0.7569, 0.2937)
Mg (0.0000, 0.3714, 0.4218)
Mg (0.0000, 0.1286, 0.9218)
Mg (0.0000, 0.2569, 0.2063)
Mg (0.0000, 0.7431, 0.7937)
Mg (0.0000, 0.5000, 0.0000)
Mg (0.0000, 0.6286, 0.5782)
In (0.5000, 0.9292, 0.6399)
In (0.5000, 0.2000, 0.0575)
In (0.5000, 0.5708, 0.1399)
In (0.5000, 0.8000, 0.9425)
In (0.5000, 0.4292, 0.8601)
In (0.5000, 0.3000, 0.5575)
In (0.5000, 0.7000, 0.4425)
In (0.5000, 0.0708, 0.3601)

=====

[2]
Here is a relaxed K3La3NbS8 crystal from Alexandria. Energies are from PBE-GGA.

E_form (uncorrected) = -1669 meV/atom
crystal system = trigonal
E_tot = -86.2 eV/f.u.
Fermi-level density of states = 5.76 states/eV per cell

a = 8.2758 Å, b = 8.2761 Å, c = 8.8871 Å
α = 117.75°, β = 90.00°, γ = 120.00°
Each line ends with the local moment (μB).
Atoms (fractional coordinates):
S (0.2123, 0.4247, 0.6906)  -0.01
S (0.7660, 0.9784, 0.6906)  -0.01
S (0.7373, 0.4747, 0.7120)  0.00
S (0.7877, 0.5753, 0.3094)  -0.01
S (0.2340, 0.0216, 0.3094)  -0.01
S (0.7877, 0.0216, 0.3094)  -0.01
S (0.2627, 0.5253, 0.2880)  0.00
S (0.2123, 0.9784, 0.6906)  -0.01
K (0.5000, 0.5000, 0.0000)  0.00
K (0.0000, 0.5000, 0.0000)  0.00
K (0.0000, 0.0000, 0.0000)  0.00
La (0.5000, 0.5000, 0.5000)  0.02
La (0.5000, 0.0000, 0.5000)  0.02
La (0.0000, 0.5000, 0.5000)  0.02
Nb (0.0000, 0.0000, 0.5000)  0.77

=====

[3]
Here is a relaxed Cr3BiAu crystal from Alexandria. Energies are from PBE-GGA.

energy above the lowest structure with this stoichiometry = 0.3436 eV/atom
crystal system = cubic
E_tot = -29.1 eV/f.u.
energy relative to the elements = 1.39 eV/atom
Fermi-level density of states = 1.25 states/eV per cell

a = 5.2850 Å, b = 5.2850 Å, c = 5.2850 Å
α = 90.00°, β = 90.00°, γ = 90.00°
Each line ends with the local moment (μB).
Atoms (fractional coordinates):
Cr (0.0000, 0.0000, 0.5000)  4.15
Cr (0.5000, 0.0000, 0.0000)  3.92
Cr (0.0000, 0.5000, 0.0000)  4.03
Bi (0.0000, 0.0000, 0.0000)  -0.12
Au (0.5000, 0.5000, 0.5000)  -0.02

=====

[4]
Here is a relaxed ZnGa6Ag8 crystal from Alexandria. Energies are from PBE-GGA.

crystal system = trigonal
E_tot = -41.8 eV/f.u.
energy relative to the elements = 0.03 eV/atom
Fermi-level density of states = 3.00 states/eV per cell

a = 5.5406 Å, b = 7.5565 Å, c = 7.5565 Å
α = 120.00°, β = 90.00°, γ = 90.00°
Atoms (fractional coordinates):
Ag (0.0003, 0.3333, 0.6667)
Ag (0.1837, 0.7256, 0.0002)
Ag (0.1837, 0.2746, 0.2744)
Ag (0.8163, 0.2744, 0.9998)
Ag (0.8163, 0.7254, 0.7256)
Ag (0.1837, 0.9998, 0.7254)
Ag (0.9997, 0.6667, 0.3333)
Ag (0.8163, 0.0002, 0.2746)
Ga (0.3238, 0.0002, 0.3838)
Ga (0.6762, 0.6164, 0.0002)
Ga (0.6762, 0.3838, 0.3836)
Ga (0.3238, 0.3836, 0.9998)
Ga (0.3238, 0.6162, 0.6164)
Ga (0.6762, 0.9998, 0.6162)
Zn (0.5000, 0.0000, 0.0000)

=====

[5]
Here is a relaxed Tl4SnTe5 crystal from Alexandria. Energies are from PBE-GGA.

energy above the lowest structure with this stoichiometry = 0.0400 eV/atom
E_form (uncorrected) = -152 meV/atom
crystal system = tetragonal
E_tot = -30.7 eV/f.u.
Fermi-level density of states = 1.51 states/eV per cell

a = 5.9132 Å, b = 8.4566 Å, c = 8.4565 Å
α = 82.98°, β = 69.54°, γ = 69.54°
Atoms (fractional coordinates):
Sn (0.0213, 0.0000, 0.0000)
Te (0.8456, 0.4260, 0.9999)
Te (0.5176, 0.0000, 0.0000)
Te (0.8456, 0.9999, 0.4260)
Te (0.2714, 0.0001, 0.5740)
Te (0.2715, 0.5740, 0.0001)
Tl (0.4295, 0.3093, 0.6907)
Tl (0.4295, 0.6907, 0.3093)
Tl (0.7382, 0.6906, 0.6907)
Tl (0.1195, 0.3094, 0.3093)

=====

[6]
Here is a relaxed Tb2CeBr8 crystal from Alexandria. Energies are from PBE-GGA.

E_form (uncorrected) = -1651 meV/atom
crystal system = monoclinic
E_tot = -46.7 eV/f.u.
Fermi-level density of states = 9.58 states/eV per cell

a = 7.0706 Å, b = 10.2752 Å, c = 10.2752 Å
α = 44.14°, β = 97.38°, γ = 97.38°
Each line ends with the local moment (μB).
Atoms (fractional coordinates):
Tb (0.5451, 0.8522, 0.8522)  0.14
Tb (0.4549, 0.1478, 0.1478)  0.14
Br (0.7114, 0.1957, 0.6779)  0.00
Br (0.2886, 0.3221, 0.8043)  0.00
Br (0.6268, 0.7205, 0.7205)  0.00
Br (0.2886, 0.8043, 0.3221)  0.00
Br (0.1601, 0.8602, 0.8602)  0.00
Br (0.7114, 0.6779, 0.1957)  0.00
Br (0.3732, 0.2795, 0.2795)  0.00
Br (0.8399, 0.1398, 0.1398)  0.00
Ce (0.0000, 0.0000, 0.0000)  1.33

=====

[7]
Here is a relaxed ZnOsBr2 crystal from Alexandria. Energies are from PBE-GGA.

energy above the lowest structure with this stoichiometry = 0.9449 eV/atom
E_form (uncorrected) = 1129 meV/atom
crystal system = cubic
E_tot = -11.3 eV/f.u.
Fermi-level density of states = 3.49 states/eV per cell

a = 4.7008 Å, b = 4.7008 Å, c = 4.7008 Å
α = 60.00°, β = 60.00°, γ = 60.00°
Atoms (fractional coordinates):
Os (0.5000, 0.5000, 0.5000)
Br (0.7500, 0.7500, 0.7500)
Br (0.2500, 0.2500, 0.2500)
Zn (0.0000, 0.0000, 0.0000)

=====

[8]
Here is a relaxed ZrCu2Te crystal from Alexandria. Energies are from PBE-GGA.

E_form (uncorrected) = -84 meV/atom
crystal system = tetragonal
E_tot = -20.2 eV/f.u.
Fermi-level density of states = 4.63 states/eV per cell

a = 5.4031 Å, b = 5.4031 Å, c = 5.4031 Å
α = 137.26°, β = 137.26°, γ = 62.03°
Atoms (fractional coordinates):
Cu (0.2500, 0.7500, 0.5000)
Cu (0.0000, 0.0000, 0.0000)
Zr (0.7500, 0.2500, 0.5000)
Te (0.5000, 0.5000, 0.0000)

=====

[9]
Here is a relaxed ZrP2NO crystal from Alexandria. Energies are from PBE-GGA.

energy above the lowest structure with this stoichiometry = 0.7147 eV/atom
E_form (uncorrected) = 744 meV/atom
crystal system = tetragonal
E_tot = -28.9 eV/f.u.
Fermi-level density of states = 2.94 states/eV per cell

a = 5.2254 Å, b = 5.2254 Å, c = 4.0373 Å
α = 90.00°, β = 90.00°, γ = 90.00°
Each line ends with the local moment (μB).
Atoms (fractional coordinates):
O (0.0000, 0.0000, 0.5000)  -0.18
P (0.5000, 0.0000, 0.0000)  -0.41
P (0.0000, 0.5000, 0.0000)  -0.41
Zr (0.0000, 0.0000, 0.0000)  0.07
N (0.5000, 0.5000, 0.5000)  1.64

=====

[10]
Here is a relaxed NpCdBi2 crystal from Alexandria. Energies are from PBE-GGA.

energy above the lowest structure with this stoichiometry = 0.2441 eV/atom
crystal system = cubic
E_tot = -20.7 eV/f.u.
energy relative to the elements = 0.23 eV/atom
Fermi-level density of states = 16.88 states/eV per cell

a = 5.4556 Å, b = 5.4556 Å, c = 5.4556 Å
α = 60.00°, β = 60.00°, γ = 60.00°
Each line ends with the local moment (μB).
Atoms (fractional coordinates):
Bi (0.7500, 0.7500, 0.7500)  -0.08
Bi (0.2500, 0.2500, 0.2500)  -0.08
Np (0.0000, 0.0000, 0.0000)  -4.20
Cd (0.5000, 0.5000, 0.5000)  -0.03

=====

[11]
Here is a relaxed Ru2WBr crystal from Alexandria. Energies are from PBE-GGA.

energy above the lowest structure with this stoichiometry = 0.2835 eV/atom
E_form (uncorrected) = 719 meV/atom
crystal system = monoclinic
E_tot = -30.3 eV/f.u.
Fermi-level density of states = 3.39 states/eV per cell

a = 5.1913 Å, b = 5.1913 Å, c = 4.4022 Å
α = 87.50°, β = 87.50°, γ = 33.24°
Atoms (fractional coordinates):
Ru (0.7600, 0.7600, 0.7614)
Ru (0.0301, 0.0301, 0.9713)
W (0.4653, 0.4653, 0.5286)
Br (0.2446, 0.2446, 0.2387)

=====

[12]
Here is a relaxed SrMnBi2 crystal from Alexandria. Energies are from PBE-GGA.

energy above the lowest structure with this stoichiometry = 0.0000 eV/atom
crystal system = tetragonal
E_tot = -19.7 eV/f.u.
energy relative to the elements = -0.26 eV/atom
Fermi-level density of states = 6.94 states/eV per cell

a = 11.7804 Å, b = 11.7804 Å, c = 11.7804 Å
α = 157.33°, β = 157.33°, γ = 32.28°
Each line ends with the local moment (μB).
Atoms (fractional coordinates):
Sr (0.8802, 0.8802, 0.0000)  0.01
Sr (0.1198, 0.1198, 0.0000)  0.01
Bi (0.6760, 0.6760, 0.0000)  -0.08
Bi (0.0000, 0.5000, 0.5000)  -0.02
Bi (0.5000, 0.0000, 0.5000)  -0.02
Bi (0.3240, 0.3240, 0.0000)  -0.08
Mn (0.2500, 0.7500, 0.5000)  3.85
Mn (0.7500, 0.2500, 0.5000)  3.85